Entry from the Alexandria database: an optimized crystal structure of Er2Tm3S8 (PBE-GGA).

Results
SG = C2/m, No. 12
density = 5.6 g cm⁻³
E_tot = -6.16 eV per atom

Cell lengths 6.6022, 7.8002, 7.8069 Å; angles 119.97, 107.21, 90.00 degrees
With the nearest neighbours (Å) after each atom.
Fractional coordinates of all 13 atoms:
S 0.4137 0.8886 0.2473  2 Tm 2.67-2.68, 2 Er 2.75-2.77
S 0.5863 0.1114 0.7527  2 Tm 2.67-2.68, 2 Er 2.75-2.77
S 0.9270 0.1165 0.2329  3 Tm 2.72, 1 Er 2.77
S 0.9099 0.6189 0.2378  2 Tm 2.65, 1 Er 2.68
S 0.4137 0.3587 0.2473  2 Tm 2.67-2.68, 2 Er 2.75-2.77
S 0.0730 0.8835 0.7671  3 Tm 2.72, 1 Er 2.77
S 0.0901 0.3811 0.7622  2 Tm 2.65, 1 Er 2.68
S 0.5863 0.6413 0.7527  2 Tm 2.67-2.68, 2 Er 2.75-2.77
Er 0.3408 0.2616 0.5232  6 S 2.68-2.77
Er 0.6592 0.7384 0.4768  6 S 2.68-2.77
Tm 0.0000 0.2623 0.0000  6 S 2.65-2.72
Tm 0.5000 0.0000 0.0000  6 S 2.67-2.72
Tm 0.0000 0.7377 0.0000  6 S 2.65-2.72